1.
SiHg2 | PBE | optimized geometry Values from VASP.

Properties
DOS(E_F): 0.363 states/eV/atom
Formation energy without anion corrections: 112 kJ/mol of formula units
Magnetization: 0.00 μB/f.u.

Structure (Quantum ESPRESSO input):
```
&SYSTEM
  ibrav = 0, nat = 6, ntyp = 2
/
ATOMIC_SPECIES
Si 28.09 Si.upf
Hg 200.59 Hg.upf
CELL_PARAMETERS angstrom
-1.700 2.542 14.457
1.700 -0.365 14.193
1.700 0.365 -14.193
ATOMIC_POSITIONS angstrom
Si 1.700 1.700 3.754
Si 0.000 0.842 10.703
Hg 0.000 1.746 1.556
Hg 1.700 0.796 12.901
Hg 0.000 1.439 5.960
Hg 1.700 1.103 8.497
```

2.
Si8Hg | PBE | optimized geometry Values from VASP.

Properties
DOS(E_F): 0.254 states/eV/atom
Formation energy without anion corrections: 520 kJ/mol of formula units
Magnetization: 0.00 μB/f.u.

Structure (Quantum ESPRESSO input):
```
&SYSTEM
  ibrav = 0, nat = 9, ntyp = 2
/
ATOMIC_SPECIES
Si 28.09 Si.upf
Hg 200.59 Hg.upf
CELL_PARAMETERS angstrom
-4.289 4.289 1.986
4.289 -4.289 1.986
4.289 4.289 -1.986
ATOMIC_POSITIONS angstrom
Si -1.558 1.558 1.986
Si 1.558 -1.558 1.986
Si 5.600 0.000 0.000
Si 2.731 2.731 0.000
Si 0.000 5.600 0.000
Si 1.558 1.558 1.986
Si 2.978 0.000 0.000
Si 0.000 2.978 0.000
Hg 0.000 0.000 0.000
```

3.
SiHg2 | PBE | optimized geometry Values from VASP.

Properties
DOS(E_F): 0.194 states/eV/atom
Formation energy without anion corrections: 97 kJ/mol of formula units
Magnetization: 0.00 μB/f.u.

Structure (Quantum ESPRESSO input):
```
&SYSTEM
  ibrav = 0, nat = 6, ntyp = 2
/
ATOMIC_SPECIES
Si 28.09 Si.upf
Hg 200.59 Hg.upf
CELL_PARAMETERS angstrom
-0.353 -5.911 -2.240
2.576 -5.514 -1.744
-0.183 -5.794 5.721
ATOMIC_POSITIONS angstrom
Si 1.796 -9.599 -2.921
Si 0.245 -7.620 4.658
Hg 1.016 -10.484 2.391
Hg 0.299 -4.219 1.615
Hg 1.742 -13.000 0.122
Hg 1.024 -6.735 -0.654
```